No. 1
GGA-PBE NdHo12Er6, optimized geometry; formation energy from the elements = 0.159 eV/atom; space-group type = R-3 (148); energy above the lowest structure with this stoichiometry = 0 meV per atom
1.0
5.900 3.406 5.030
-5.900 3.406 5.030
0.000 -6.812 5.030
Nd Ho Er
1 12 6
direct
0.000 0.000 0.000 Nd
0.009 0.210 0.356 Ho
0.210 0.356 0.009 Ho
0.226 0.456 0.565 Ho
0.356 0.009 0.210 Ho
0.435 0.774 0.544 Ho
0.456 0.565 0.226 Ho
0.544 0.435 0.774 Ho
0.565 0.226 0.456 Ho
0.644 0.991 0.790 Ho
0.774 0.544 0.435 Ho
0.790 0.644 0.991 Ho
0.991 0.790 0.644 Ho
0.093 0.687 0.256 Er
0.256 0.093 0.687 Er
0.313 0.744 0.907 Er
0.687 0.256 0.093 Er
0.744 0.907 0.313 Er
0.907 0.313 0.744 Er

***

No. 2
GGA-PBE Ga2RuCl8, optimized geometry; energy relative to the elements, uncorrected = -0.88 eV per atom; space-group type = C2/m (12)
1.0
6.360 -4.468 0.000
6.360 4.468 0.000
-0.605 0.000 6.001
Ga Ru Cl
2 1 8
direct
0.174 0.174 0.121 Ga
0.826 0.826 0.879 Ga
0.000 0.000 0.500 Ru
0.101 0.738 0.725 Cl
0.161 0.161 0.745 Cl
0.262 0.899 0.275 Cl
0.341 0.341 0.221 Cl
0.659 0.659 0.779 Cl
0.738 0.101 0.725 Cl
0.839 0.839 0.255 Cl
0.899 0.262 0.275 Cl

***

No. 3
GGA-PBE SbC3Se, optimized geometry; energy relative to the elements, uncorrected = 2.68 eV per atom; space-group type = Pm-3m (221); energy above the lowest structure with this stoichiometry = 0 meV per atom
1.0
3.981 0.000 0.000
0.000 3.981 0.000
0.000 0.000 3.981
Sb C Se
1 3 1
direct
0.000 0.000 0.000 Sb
0.000 0.500 0.500 C
0.500 0.000 0.500 C
0.500 0.500 0.000 C
0.500 0.500 0.500 Se